# 1
Cs2In3Pb2 | PBE | relaxed

Computed properties:
The calculation puts the total energy at -35.7 eV/cell. The energy of formation from the pure elements comes out at -51.3 kJ/mol of formula units.

abc: 15.433 4.751 8.339
angles: 90.00 99.81 90.00
Space group C2/m (No. 12)
Symmetry-distinct sites (fractional):
1 Cs 0.169 0.000 0.230
2 In 0.000 0.500 0.500
3 In 0.057 0.500 0.875
4 Pb 0.111 0.000 0.681


# 2
KTiF2 | PBE | relaxed

Computed properties:
The calculation puts the total energy at -73.5 eV/cell. For the formation energy (no corrections), the calculation gives -1.41 eV/atom. The offset from the most stable computed form is 772 meV per atom.

abc: 6.308 6.308 6.308
angles: 90.00 90.00 90.00
Space group Fm-3m (No. 225)
Symmetry-distinct sites (fractional):
1 K 0.000 0.000 0.000
2 Ti 0.000 0.000 0.500
3 F 0.250 0.250 0.250


# 3
CsRhO2F | PBE | relaxed

Computed properties:
The calculation puts the total energy at -25.5 eV/cell. For the formation energy (no corrections), the calculation gives -1.11 eV/atom.

abc: 3.894 3.894 5.470
angles: 90.00 90.00 90.00
Space group P4/mmm (No. 123)
Symmetry-distinct sites (fractional):
1 Cs 0.000 0.000 0.000
2 Rh 0.500 0.500 0.500
3 O 0.000 0.500 0.500
4 F 0.500 0.500 0.000


# 4
MgTlBi2 | PBE | relaxed

Computed properties:
The calculation puts the total energy at -11.9 eV/cell. The energy of formation from the pure elements comes out at -18.9 kJ/mol of formula units.

abc: 3.918 3.918 7.843
angles: 90.00 90.00 90.00
Space group P4/mmm (No. 123)
Symmetry-distinct sites (fractional):
1 Mg 0.000 0.000 0.000
2 Tl 0.000 0.000 0.500
3 Bi 0.500 0.500 0.207


# 5
CePuS2 | PBE | relaxed

Computed properties:
The calculation puts the total energy at -106.8 eV/cell. For the formation energy (no corrections), the calculation gives -1.77 eV/atom. The offset from the most stable computed form is 133 meV per atom.

abc: 3.9129 3.9129 20.7440
angles: 90.00 90.00 120.00
Space group R3m (No. 160, hexagonal axes)
Symmetry-distinct sites (fractional):
1 Ce 0.0000 0.0000 0.0000
2 Pu 0.0000 0.0000 0.1754
3 S 0.0000 0.0000 0.5834
4 S 0.0000 0.0000 0.7581